The following is a DFT calculation (PBE) of an optimized crystal structure of IrAu3N.

Cell: 5.011 5.011 5.011 Å, 90.00 90.00 90.00°
Element x y z (fractional)
Ir1 0.000 0.000 0.000
Au1 0.000 0.000 0.500
Au2 0.000 0.500 0.000
Au3 0.500 0.000 0.000
N1 0.500 0.500 0.500

Values from the calculation:
E above lowest polymorph in meV/atom: 1249.1
Formation energy from raw total energies in eV/atom: 2.37
Space-group type: Pm-3m
E_tot in eV/cell: -15.18